AgOsRh2 | PBE | relaxed

Cell and atoms, written as CIF:
```
data_AgOsRh2
_chemical_formula_sum 'Ag2 Os2 Rh4'
_symmetry_space_group_name_H-M 'I 4/m m m'
_symmetry_Int_Tables_number 139
_symmetry_space_group_name_Hall '-I 4 2'
_cell_length_a 3.912
_cell_length_b 3.912
_cell_length_c 7.753
_cell_angle_alpha 90.00
_cell_angle_beta 90.00
_cell_angle_gamma 90.00
loop_
_atom_site_label
_atom_site_fract_x
_atom_site_fract_y
_atom_site_fract_z
Ag1 0.000 0.000 0.000
Os1 0.000 0.000 0.500
Rh1 0.000 0.500 0.250
```

Results
The energy of formation from the pure elements comes out at 1.6 eV per formula unit. The total energy is -0.500 Ry per atom.

=====

AgOsRh2 | PBE | relaxed

Cell and atoms, written as CIF:
```
data_AgOsRh2
_chemical_formula_sum 'Ag2 Os2 Rh4'
_symmetry_space_group_name_H-M 'C m m m'
_symmetry_Int_Tables_number 65
_symmetry_space_group_name_Hall '-C 2 2'
_cell_length_a 5.612
_cell_length_b 7.721
_cell_length_c 2.749
_cell_angle_alpha 90.00
_cell_angle_beta 90.00
_cell_angle_gamma 90.00
loop_
_atom_site_label
_atom_site_fract_x
_atom_site_fract_y
_atom_site_fract_z
Ag1 0.000 0.000 0.000
Os1 0.000 0.500 0.000
Rh1 0.250 0.250 0.500
```

Results
The energy of formation from the pure elements comes out at 1.5 eV per formula unit. The total energy is -0.502 Ry per atom.

=====

AgOsRh2 | PBE | relaxed

Cell and atoms, written as CIF:
```
data_AgOsRh2
_chemical_formula_sum 'Ag1 Os1 Rh2'
_symmetry_space_group_name_H-M 'P 4/m m m'
_symmetry_Int_Tables_number 123
_symmetry_space_group_name_Hall '-P 4 2'
_cell_length_a 3.965
_cell_length_b 3.965
_cell_length_c 3.815
_cell_angle_alpha 90.00
_cell_angle_beta 90.00
_cell_angle_gamma 90.00
loop_
_atom_site_label
_atom_site_fract_x
_atom_site_fract_y
_atom_site_fract_z
Ag1 0.000 0.000 0.000
Os1 0.500 0.500 0.000
Rh1 0.000 0.500 0.500
```

Results
The energy of formation from the pure elements comes out at 2.1 eV per formula unit. The total energy is -0.491 Ry per atom.

=====

AgOs2Rh | PBE | relaxed

Cell and atoms, written as CIF:
```
data_AgOs2Rh
_chemical_formula_sum 'Ag2 Os4 Rh2'
_symmetry_space_group_name_H-M 'I m m m'
_symmetry_Int_Tables_number 71
_symmetry_space_group_name_Hall '-I 2 2'
_cell_length_a 2.721
_cell_length_b 4.555
_cell_length_c 10.069
_cell_angle_alpha 90.00
_cell_angle_beta 90.00
_cell_angle_gamma 90.00
loop_
_atom_site_label
_atom_site_fract_x
_atom_site_fract_y
_atom_site_fract_z
Ag1 0.000 0.000 0.000
Os1 0.000 0.500 0.222
Rh1 0.000 0.000 0.500
```

Results
The energy of formation from the pure elements comes out at 2.1 eV per formula unit. The total energy is -0.561 Ry per atom.

=====

AgOsRh2 | PBE | relaxed

Cell and atoms, written as CIF:
```
data_AgOsRh2
_chemical_formula_sum 'Ag4 Os4 Rh8'
_symmetry_space_group_name_H-M 'F -4 3 m'
_symmetry_Int_Tables_number 216
_symmetry_space_group_name_Hall 'F -4 2 3'
_cell_length_a 6.233
_cell_length_b 6.233
_cell_length_c 6.233
_cell_angle_alpha 90.00
_cell_angle_beta 90.00
_cell_angle_gamma 90.00
loop_
_atom_site_label
_atom_site_fract_x
_atom_site_fract_y
_atom_site_fract_z
Ag1 0.000 0.000 0.000
Os1 0.250 0.250 0.750
Rh1 0.000 0.000 0.500
Rh2 0.250 0.250 0.250
```

Results
The energy of formation from the pure elements comes out at 2.6 eV per formula unit. The total energy is -0.481 Ry per atom.

=====

AgOsRh2 | PBE | relaxed

Cell and atoms, written as CIF:
```
data_AgOsRh2
_chemical_formula_sum 'Ag2 Os2 Rh4'
_symmetry_space_group_name_H-M 'I -4 m 2'
_symmetry_Int_Tables_number 119
_symmetry_space_group_name_Hall 'I -4 -2'
_cell_length_a 3.857
_cell_length_b 3.857
_cell_length_c 8.002
_cell_angle_alpha 90.00
_cell_angle_beta 90.00
_cell_angle_gamma 90.00
loop_
_atom_site_label
_atom_site_fract_x
_atom_site_fract_y
_atom_site_fract_z
Ag1 0.000 0.000 0.000
Os1 0.000 0.500 0.750
Rh1 0.000 0.000 0.500
Rh2 0.000 0.500 0.250
```

Results
The energy of formation from the pure elements comes out at 1.8 eV per formula unit. The total energy is -0.497 Ry per atom.

=====

no.,ΔE to the lowest computed polymorph (meV per atom),magnetization (Bohr magnetons per cell),density of states at the Fermi level (states/eV/f.u.)
1,278,0.001,4.09
2,246,0.001,5.93
3,396,1.040,5.87
4,283,0.000,3.90
5,538,0.001,5.74
6,319,0.001,4.33